1.
A plane-wave DFT calculation with PBE was carried out for a geometry-optimized Zn2SbBr structure.

Cell lengths 5.0549, 5.0549, 5.0549 Å; angles 60.00, 60.00, 60.00 degrees
Fractional positions:
Zn  0.0000  0.0000  0.0000
Zn  0.2500  0.2500  0.2500
Sb  0.5000  0.5000  0.5000
Br  0.7500  0.7500  0.7500

Symmetry: F-43m
Uncorrected energy: -1.768 eV/atom
Magnetization: 0.00 μB per cell
Crystal system: cubic

=====

2.
A plane-wave DFT calculation with PBE was carried out for a geometry-optimized ZnSbBr2 structure.

Cell lengths 3.4172, 4.3044, 7.0600 Å; angles 90.00, 90.00, 90.00 degrees
Fractional positions:
Zn  0.0000  0.0000  0.0000
Sb  0.0000  0.0000  0.5000
Br  0.5000  0.5000  0.2579
Br  0.5000  0.5000  0.7421

Symmetry: Pmmm
Uncorrected energy: -2.018 eV/atom
Magnetization: 0.00 μB per cell
Crystal system: orthorhombic